Here is a relaxed PmLuNiPt crystal from Alexandria via LeMat-Bulk. Energies are from PBE.

Cell lengths 4.893, 4.893, 4.893 Å; angles 60.00, 60.00, 60.00 degrees
Positions (direct):
Ni 0.250 0.250 0.250
Lu 0.000 0.000 0.000
Pt 0.750 0.750 0.750
Pm 0.500 0.500 0.500

Calculated volume: 20.71 Å³/atom
Space group: F-43m (216)
ΔE_f: -73.7 kJ/mol of atoms


Here is a relaxed FeReSi2 crystal from Alexandria via LeMat-Bulk. Energies are from PBE.

Cell lengths 6.299, 6.299, 5.268 Å; angles 53.29, 53.29, 90.00 degrees
Each line ends with the local moment (μB).
Positions (direct):
Re 0.000 0.000 0.000  0.13
Re 0.750 0.250 0.500  0.13
Si 0.598 0.125 0.250  -0.03
Si 0.152 0.625 0.250  -0.03
Si 0.375 0.402 0.750  -0.03
Si 0.875 0.848 0.750  -0.03
Fe 0.500 0.500 0.000  1.13
Fe 0.250 0.750 0.500  1.13

Calculated volume: 13.95 Å³/atom
Space group: I-42d (122)
E_form (uncorrected): 0.48 eV/atom


Here is a relaxed MnBe3H crystal from Alexandria via LeMat-Bulk. Energies are from PBE.

Cell lengths 4.220, 4.220, 4.220 Å; angles 90.00, 90.00, 90.00 degrees
Each line ends with the local moment (μB).
Positions (direct):
Be 0.000 0.500 0.000  0.02
Be 0.000 0.000 0.500  -0.02
Be 0.500 0.000 0.000  0.03
Mn 0.000 0.000 0.000  2.26
H 0.500 0.500 0.500  0.20

Calculated volume: 15.03 Å³/atom
Space group: Pm-3m (221)
Electronic total energy: -15.22 eV per cell


Here is a relaxed LaMg2Tl crystal from Alexandria via LeMat-Bulk. Energies are from PBE.

Cell lengths 5.958, 5.958, 5.994 Å; angles 76.34, 76.34, 32.94 degrees
Each line ends with the local moment (μB).
Positions (direct):
La 0.750 0.750 0.750  0.08
Mg 0.986 0.986 0.024  0.00
Mg 0.514 0.514 0.476  0.00
Tl 0.250 0.250 0.250  0.00

Calculated volume: 28.03 Å³/atom
Space group: C2/m (12)
ΔE_f: -9.4 kJ/mol of atoms


Here is a relaxed Rb3SnO4 crystal from Alexandria via LeMat-Bulk. Energies are from PBE.

Cell lengths 6.618, 6.618, 6.618 Å; angles 94.37, 116.70, 118.33 degrees
Each line ends with the local moment (μB).
Positions (direct):
Rb 0.530 0.230 0.760  0.00
Rb 0.064 0.000 0.064  0.00
Rb 0.530 0.770 0.300  0.00
Sn 0.009 0.500 0.509  -0.03
O 0.156 0.689 0.845  0.20
O 0.156 0.311 0.468  0.20
O 0.608 0.256 0.352  0.22
O 0.097 0.744 0.352  0.22

Calculated volume: 26.50 Å³/atom
Space group: Imm2 (44)
E_form (uncorrected): -1.25 eV/atom


Here is a relaxed LaCdPtO4 crystal from Alexandria via LeMat-Bulk. Energies are from PBE.

Cell lengths 6.300, 6.986, 7.500 Å; angles 122.46, 90.00, 116.80 degrees
Each line ends with the local moment (μB).
Positions (direct):
La 0.500 0.000 0.500  0.01
La 0.500 0.000 0.000  0.01
Cd 0.797 0.594 0.047  0.00
Cd 0.203 0.406 0.953  0.00
Pt 0.500 0.500 0.500  0.17
Pt 0.000 0.500 0.500  0.17
O 0.742 0.485 0.658  0.07
O 0.204 0.822 0.161  0.01
O 0.618 0.822 0.161  0.01
O 0.742 0.485 0.327  0.07
O 0.258 0.515 0.673  0.07
O 0.796 0.178 0.839  0.01
O 0.382 0.178 0.839  0.01
O 0.258 0.515 0.342  0.07

Calculated volume: 16.82 Å³/atom
Space group: Imma (74)
E_form (uncorrected): -1.54 eV/atom